This record from the Alexandria database describes a relaxed structure of CoAuSe3. The functional is PBE-GGA.

Results
M_tot = 1.04 μB per cell
Raw formation energy = 0.53 eV per atom
ΔE to the lowest computed polymorph = 0 meV per atom

```
data_CoAuSe3
_chemical_formula_sum 'Co1 Au1 Se3'
_cell_length_a 4.684
_cell_length_b 4.684
_cell_length_c 4.684
_cell_angle_alpha 90.00
_cell_angle_beta 90.00
_cell_angle_gamma 90.00
_space_group_name_H-M_alt 'P m -3 m'
_space_group_IT_number 221
_space_group_name_Hall '-P 4 2 3'
loop_
_atom_site_label
_atom_site_type_symbol
_atom_site_fract_x
_atom_site_fract_y
_atom_site_fract_z
Co1 Co 0.000 0.000 0.000
Au1 Au 0.500 0.500 0.500
Se1 Se 0.000 0.000 0.500
```



This record from the Alexandria database describes a relaxed structure of MgHg3Pb. The functional is PBE-GGA.

Results
M_tot = 0.00 μB per cell
E_form = -0.04 eV per atom
ΔE to the lowest computed polymorph = 4 meV per atom

```
data_MgHg3Pb
_chemical_formula_sum 'Mg4 Hg12 Pb4'
_cell_length_a 9.995
_cell_length_b 3.975
_cell_length_c 12.947
_cell_angle_alpha 90.00
_cell_angle_beta 90.00
_cell_angle_gamma 90.00
_space_group_name_H-M_alt 'P n m a'
_space_group_IT_number 62
loop_
_space_group_symop_operation_xyz
'x,y,z'
'-x,-y,-z'
'-x+1/2,-y,z+1/2'
'x+1/2,y,-z+1/2'
'x+1/2,-y+1/2,-z+1/2'
'-x+1/2,y+1/2,z+1/2'
'-x,y+1/2,-z'
'x,-y+1/2,z'
loop_
_atom_site_label
_atom_site_type_symbol
_atom_site_fract_x
_atom_site_fract_y
_atom_site_fract_z
Mg1 Mg 0.118 0.250 0.135
Hg1 Hg 0.094 0.250 0.915
Hg2 Hg 0.118 0.750 0.720
Hg3 Hg 0.128 0.750 0.307
Pb1 Pb 0.144 0.250 0.513
```



This record from the Alexandria database describes a relaxed structure of Y6TlSi2Se3. The functional is PBE-GGA.

Results
M_tot = 0.00 μB per cell
Raw formation energy = -1.21 eV per atom

```
data_Y6TlSi2Se3
_chemical_formula_sum 'Y12 Tl2 Si4 Se6'
_cell_length_a 18.357
_cell_length_b 4.125
_cell_length_c 8.444
_cell_angle_alpha 90.00
_cell_angle_beta 106.46
_cell_angle_gamma 90.00
_space_group_name_H-M_alt 'C 1 2/m 1'
_space_group_IT_number 12
loop_
_space_group_symop_operation_xyz
'x,y,z'
'-x,-y,-z'
'-x,y,-z'
'x,-y,z'
'x+1/2,y+1/2,z'
'-x+1/2,-y+1/2,-z'
'-x+1/2,y+1/2,-z'
'x+1/2,-y+1/2,z'
loop_
_atom_site_label
_atom_site_type_symbol
_atom_site_fract_x
_atom_site_fract_y
_atom_site_fract_z
Y1 Y 0.001 0.000 0.266
Y2 Y 0.172 0.500 0.093
Y3 Y 0.172 0.500 0.569
Tl1 Tl 0.000 0.500 0.000
Si1 Si 0.164 0.000 0.326
Se1 Se 0.000 0.500 0.500
Se2 Se 0.166 0.000 0.828
```



This record from the Alexandria database describes a relaxed structure of Al4Ag3. The functional is PBE-GGA.

Results
M_tot = 0.00 μB per cell
E_form = -0.01 eV per atom
ΔE to the lowest computed polymorph = 33 meV per atom

```
data_Al4Ag3
_chemical_formula_sum 'Al8 Ag6'
_cell_length_a 2.880
_cell_length_b 2.880
_cell_length_c 28.607
_cell_angle_alpha 90.00
_cell_angle_beta 90.00
_cell_angle_gamma 90.00
_space_group_name_H-M_alt 'I 4 m m'
_space_group_IT_number 107
_space_group_name_Hall 'I 4 -2'
loop_
_atom_site_label
_atom_site_type_symbol
_atom_site_fract_x
_atom_site_fract_y
_atom_site_fract_z
Al1 Al 0.000 0.000 0.000
Al2 Al 0.000 0.000 0.140
Al3 Al 0.000 0.000 0.286
Al4 Al 0.000 0.000 0.713
Ag1 Ag 0.000 0.000 0.432
Ag2 Ag 0.000 0.000 0.570
Ag3 Ag 0.000 0.000 0.854
```



This record from the Alexandria database describes a relaxed structure of Nd6In2N. The functional is PBE-GGA.

Results
M_tot = 0.00 μB per cell
Raw formation energy = -0.56 eV per atom
ΔE to the lowest computed polymorph = 0 meV per atom

```
data_Nd6In2N
_chemical_formula_sum 'Nd24 In8 N4'
_cell_length_a 10.111
_cell_length_b 10.111
_cell_length_c 10.111
_cell_angle_alpha 90.00
_cell_angle_beta 90.00
_cell_angle_gamma 90.00
_space_group_name_H-M_alt 'F m -3 m'
_space_group_IT_number 225
_space_group_name_Hall '-F 4 2 3'
loop_
_atom_site_label
_atom_site_type_symbol
_atom_site_fract_x
_atom_site_fract_y
_atom_site_fract_z
Nd1 Nd 0.000 0.000 0.244
In1 In 0.250 0.250 0.250
N1 N 0.000 0.000 0.000
```



This record from the Alexandria database describes a relaxed structure of Sr5TiN4F2. The functional is PBE-GGA.

Results
M_tot = 0.00 μB per cell
Raw formation energy = -1.61 eV per atom

```
data_Sr5TiN4F2
_chemical_formula_sum 'Sr10 Ti2 N8 F4'
_cell_length_a 7.396
_cell_length_b 10.014
_cell_length_c 6.070
_cell_angle_alpha 90.00
_cell_angle_beta 90.00
_cell_angle_gamma 90.00
_space_group_name_H-M_alt 'A m m 2'
_space_group_IT_number 38
loop_
_space_group_symop_operation_xyz
'x,y,z'
'-x,-y,z'
'-x,y,z'
'x,-y,z'
'x,y+1/2,z+1/2'
'-x,-y+1/2,z+1/2'
'-x,y+1/2,z+1/2'
'x,-y+1/2,z+1/2'
loop_
_atom_site_label
_atom_site_type_symbol
_atom_site_fract_x
_atom_site_fract_y
_atom_site_fract_z
Sr1 Sr 0.000 0.000 0.000
Sr2 Sr 0.282 0.183 0.488
Ti1 Ti 0.500 0.000 0.008
N1 N 0.283 0.000 0.201
N2 N 0.500 0.157 0.814
F1 F 0.000 0.202 0.757
```



This record from the Alexandria database describes a relaxed structure of Be2CoRe. The functional is PBE-GGA.

Results
M_tot = 1.47 μB per cell
E_form = 0.12 eV per atom
ΔE to the lowest computed polymorph = 286 meV per atom

```
data_Be2CoRe
_chemical_formula_sum 'Be6 Co3 Re3'
_cell_length_a 2.6251
_cell_length_b 2.6251
_cell_length_c 22.3907
_cell_angle_alpha 90.00
_cell_angle_beta 90.00
_cell_angle_gamma 120.00
_space_group_name_H-M_alt 'R -3 m'
_space_group_IT_number 166
_space_group_name_Hall '-R 3 2"'
loop_
_atom_site_label
_atom_site_type_symbol
_atom_site_fract_x
_atom_site_fract_y
_atom_site_fract_z
Be1 Be 0.0000 0.0000 0.2433
Co1 Co 0.0000 0.0000 0.5000
Re1 Re 0.0000 0.0000 0.0000
```



This record from the Alexandria database describes a relaxed structure of Ce3Mn3B8. The functional is PBE-GGA.

Results
M_tot = 0.01 μB per cell
E_form = -0.25 eV per atom

```
data_Ce3Mn3B8
_chemical_formula_sum 'Ce6 Mn6 B16'
_cell_length_a 3.118
_cell_length_b 8.226
_cell_length_c 13.103
_cell_angle_alpha 90.00
_cell_angle_beta 90.00
_cell_angle_gamma 90.00
_space_group_name_H-M_alt 'I m m m'
_space_group_IT_number 71
_space_group_name_Hall '-I 2 2'
loop_
_atom_site_label
_atom_site_type_symbol
_atom_site_fract_x
_atom_site_fract_y
_atom_site_fract_z
Ce1 Ce 0.000 0.000 0.000
Ce2 Ce 0.000 0.000 0.270
Mn1 Mn 0.000 0.192 0.500
Mn2 Mn 0.000 0.500 0.000
B1 B 0.000 0.275 0.119
B2 B 0.000 0.306 0.366
```



This record from the Alexandria database describes a relaxed structure of Sr2GaF8. The functional is PBE-GGA.

Results
M_tot = 2.17 μB per cell
Raw formation energy = -2.94 eV per atom

```
data_Sr2GaF8
_chemical_formula_sum 'Sr4 Ga2 F16'
_cell_length_a 11.843
_cell_length_b 3.461
_cell_length_c 8.997
_cell_angle_alpha 90.00
_cell_angle_beta 95.21
_cell_angle_gamma 90.00
_space_group_name_H-M_alt 'C 1 2/m 1'
_space_group_IT_number 12
loop_
_space_group_symop_operation_xyz
'x,y,z'
'-x,-y,-z'
'-x,y,-z'
'x,-y,z'
'x+1/2,y+1/2,z'
'-x+1/2,-y+1/2,-z'
'-x+1/2,y+1/2,-z'
'x+1/2,-y+1/2,z'
loop_
_atom_site_label
_atom_site_type_symbol
_atom_site_fract_x
_atom_site_fract_y
_atom_site_fract_z
Sr1 Sr 0.151 0.000 0.342
Ga1 Ga 0.000 0.500 0.000
F1 F 0.005 0.500 0.392
F2 F 0.043 0.000 0.884
F3 F 0.132 0.500 0.123
F4 F 0.216 0.000 0.609
```



This record from the Alexandria database describes a relaxed structure of Hf2BeTl. The functional is PBE-GGA.

Results
M_tot = 0.00 μB per cell
E_form = 0.46 eV per atom
ΔE to the lowest computed polymorph = 333 meV per atom

```
data_Hf2BeTl
_chemical_formula_sum 'Hf8 Be4 Tl4'
_cell_length_a 7.467
_cell_length_b 7.467
_cell_length_c 5.836
_cell_angle_alpha 90.00
_cell_angle_beta 90.00
_cell_angle_gamma 90.00
_space_group_name_H-M_alt 'I -4 2 d'
_space_group_IT_number 122
_space_group_name_Hall 'I -4 2bw'
loop_
_atom_site_label
_atom_site_type_symbol
_atom_site_fract_x
_atom_site_fract_y
_atom_site_fract_z
Hf1 Hf 0.213 0.250 0.125
Be1 Be 0.000 0.000 0.000
Tl1 Tl 0.000 0.000 0.500
```



This record from the Alexandria database describes a relaxed structure of V7Cu6Pd16. The functional is PBE-GGA.

Results
M_tot = 39.02 μB per cell
E_form = -0.03 eV per atom

```
data_V7Cu6Pd16
_chemical_formula_sum 'V28 Cu24 Pd64'
_cell_length_a 12.049
_cell_length_b 12.049
_cell_length_c 12.049
_cell_angle_alpha 90.00
_cell_angle_beta 90.00
_cell_angle_gamma 90.00
_space_group_name_H-M_alt 'F m -3 m'
_space_group_IT_number 225
_space_group_name_Hall '-F 4 2 3'
loop_
_atom_site_label
_atom_site_type_symbol
_atom_site_fract_x
_atom_site_fract_y
_atom_site_fract_z
V1 V 0.000 0.000 0.000
V2 V 0.000 0.250 0.250
Cu1 Cu 0.000 0.000 0.244
Pd1 Pd 0.124 0.124 0.376
Pd2 Pd 0.133 0.133 0.133
```